AgPb2WCl: relaxed, PBE.

Cell: 5.4810 5.4810 5.0488 Å, 90.00 90.00 90.00°
Last column: nearest neighbours and their distance in Å.
Sites, in units of the cell vectors:
Ag1 0.0000 0.0000 0.0000  2 W 2.52
Pb1 0.0000 0.5000 0.5000  2 W 2.74
Pb2 0.5000 0.0000 0.5000  2 W 2.74
W1 0.0000 0.0000 0.5000  2 Ag 2.52, 4 Pb 2.74
Cl1 0.5000 0.5000 0.0000  8 Pb 3.73, 4 Ag 3.88

Calculated values
- Formation energy without anion corrections: 0.778 eV/atom